1.
DFT (PBE) results for a relaxed LaTbGe crystal.

Values from the calculation:
**E_tot**: -0.3922 Ry/atom
**Excess energy over the best structure of this formula in the dataset**: 0 meV per atom
**Space-group type**: No. 59

abc: 4.515 4.540 8.336
angles: 90.00 90.00 90.00
Positions (direct):
La (0.680, 0.526, 0.406)
La (0.180, 0.026, 0.687)
Tb (0.680, 0.025, 0.034)
Tb (0.180, 0.525, 0.059)
Ge (0.680, 0.525, 0.792)
Ge (0.180, 0.025, 0.302)

2.
DFT (PBE) results for a relaxed La3TbGe6 crystal.

Values from the calculation:
**E_tot**: -0.3989 Ry/atom
**Space-group type**: No. 167

abc: 8.007 8.007 8.007
angles: 98.28 98.28 98.28
Positions (direct):
La (0.184, 0.750, 0.316)
La (0.316, 0.184, 0.750)
La (0.250, 0.684, 0.816)
La (0.750, 0.316, 0.184)
La (0.684, 0.816, 0.250)
La (0.816, 0.250, 0.684)
Tb (0.000, 0.000, 0.000)
Tb (0.500, 0.500, 0.500)
Ge (0.911, 0.621, 0.987)
Ge (0.013, 0.089, 0.379)
Ge (0.121, 0.411, 0.487)
Ge (0.379, 0.013, 0.089)
Ge (0.411, 0.487, 0.121)
Ge (0.513, 0.879, 0.589)
Ge (0.487, 0.121, 0.411)
Ge (0.589, 0.513, 0.879)
Ge (0.621, 0.987, 0.911)
Ge (0.879, 0.589, 0.513)
Ge (0.987, 0.911, 0.621)
Ge (0.089, 0.379, 0.013)

3.
DFT (PBE) results for a relaxed LaTbGe4 crystal.

Values from the calculation:
**E_tot**: -0.3714 Ry/atom
**Space-group type**: No. 216

abc: 5.717 5.717 5.717
angles: 60.00 60.00 60.00
Positions (direct):
Ge (0.622, 0.622, 0.133)
Ge (0.622, 0.133, 0.622)
Ge (0.622, 0.622, 0.622)
Ge (0.133, 0.622, 0.622)
Tb (0.250, 0.250, 0.250)
La (0.000, 0.000, 0.000)

4.
DFT (PBE) results for a relaxed La2Tb3Ge4 crystal.

Values from the calculation:
**E_tot**: -0.4095 Ry/atom
**Space-group type**: No. 14

abc: 7.752 7.993 8.017
angles: 90.00 90.00 109.60
Positions (direct):
La (0.571, 0.195, 0.321)
La (0.929, 0.805, 0.821)
La (0.429, 0.805, 0.679)
La (0.071, 0.195, 0.179)
Tb (0.000, 0.500, 0.500)
Tb (0.500, 0.500, 0.000)
Tb (0.748, 0.246, 0.831)
Tb (0.752, 0.754, 0.331)
Tb (0.252, 0.754, 0.169)
Tb (0.248, 0.246, 0.669)
Ge (0.853, 0.084, 0.538)
Ge (0.647, 0.916, 0.038)
Ge (0.147, 0.916, 0.462)
Ge (0.353, 0.084, 0.962)
Ge (0.866, 0.492, 0.131)
Ge (0.634, 0.508, 0.631)
Ge (0.134, 0.508, 0.869)
Ge (0.366, 0.492, 0.369)

5.
DFT (PBE) results for a relaxed La2TbGe2 crystal.

Values from the calculation:
**E_tot**: -0.4021 Ry/atom
**Excess energy over the best structure of this formula in the dataset**: 56 meV per atom
**Space-group type**: No. 12

abc: 4.499 6.745 10.232
angles: 78.49 77.30 70.52
Positions (direct):
La (0.321, 0.269, 0.089)
La (0.485, 0.342, 0.687)
La (0.679, 0.731, 0.911)
La (0.515, 0.658, 0.313)
Tb (0.777, 0.081, 0.365)
Tb (0.223, 0.919, 0.635)
Ge (0.988, 0.135, 0.890)
Ge (0.116, 0.326, 0.441)
Ge (0.012, 0.865, 0.110)
Ge (0.884, 0.674, 0.559)

6.
DFT (PBE) results for a relaxed LaTbGe crystal.

Values from the calculation:
**E_tot**: -0.3805 Ry/atom
**Excess energy over the best structure of this formula in the dataset**: 158 meV per atom
**Space-group type**: No. 156

abc: 4.365 4.808 4.808
angles: 120.00 90.00 90.00
Positions (direct):
Ge (0.087, 0.000, 0.000)
Tb (0.221, 0.667, 0.333)
La (0.692, 0.333, 0.667)

The records above yield energy of formation from the pure elements values of -1.83, -7.15, -2.29, -7.93, -3.63, -1.36 eV/f.u., respectively.